Record 1
VASP calculation (PBE) on a relaxed structure of Zr2V2Sb.

Computed properties:
Formation energy from raw total energies in eV per atom: -0.0997

The structure in CIF format:
```
data_Zr2V2Sb
_symmetry_space_group_name_H-M 'P 4/m b m'
_symmetry_Int_Tables_number 127
_symmetry_space_group_name_Hall '-P 4 2ab'
_cell_length_a 7.131
_cell_length_b 7.131
_cell_length_c 3.792
_cell_angle_alpha 90.00
_cell_angle_beta 90.00
_cell_angle_gamma 90.00
loop_
_atom_site_label
_atom_site_fract_x
_atom_site_fract_y
_atom_site_fract_z
Zr1 0.187 0.313 0.000
V1 0.104 0.604 0.500
Sb1 0.000 0.000 0.500
```


Record 2
VASP calculation (PBE) on a relaxed structure of ZrHgPb2.

Computed properties:
E_form in meV per atom: 29

The structure in CIF format:
```
data_ZrHgPb2
_symmetry_space_group_name_H-M 'R 3 m'
_symmetry_Int_Tables_number 160
_symmetry_space_group_name_Hall 'R 3 -2"'
_cell_length_a 3.4471
_cell_length_b 3.4471
_cell_length_c 31.1681
_cell_angle_alpha 90.00
_cell_angle_beta 90.00
_cell_angle_gamma 120.00
loop_
_atom_site_label
_atom_site_fract_x
_atom_site_fract_y
_atom_site_fract_z
Zr1 0.0000 0.0000 0.0000
Hg1 0.0000 0.0000 0.7402
Pb1 0.0000 0.0000 0.2531
Pb2 0.0000 0.0000 0.4912
```


Record 3
VASP calculation (PBE) on a relaxed structure of BaCa3Al.

Computed properties:
E_form in meV per atom: 1126
Energy relative to the lowest polymorph listed for this composition in meV per atom: 1088

The structure in CIF format:
```
data_BaCa3Al
_symmetry_space_group_name_H-M 'P m -3 m'
_symmetry_Int_Tables_number 221
_symmetry_space_group_name_Hall '-P 4 2 3'
_cell_length_a 5.864
_cell_length_b 5.864
_cell_length_c 5.864
_cell_angle_alpha 90.00
_cell_angle_beta 90.00
_cell_angle_gamma 90.00
loop_
_atom_site_label
_atom_site_fract_x
_atom_site_fract_y
_atom_site_fract_z
Ba1 0.000 0.000 0.000
Ca1 0.000 0.000 0.500
Al1 0.500 0.500 0.500
```


Record 4
VASP calculation (PBE) on a relaxed structure of MnGaOs2Br.

Computed properties:
Formation energy from raw total energies in eV per atom: 1.5811

The structure in CIF format:
```
data_MnGaOs2Br
_symmetry_space_group_name_H-M 'P 4/m m m'
_symmetry_Int_Tables_number 123
_symmetry_space_group_name_Hall '-P 4 2'
_cell_length_a 4.517
_cell_length_b 4.517
_cell_length_c 4.694
_cell_angle_alpha 90.00
_cell_angle_beta 90.00
_cell_angle_gamma 90.00
loop_
_atom_site_label
_atom_site_fract_x
_atom_site_fract_y
_atom_site_fract_z
Mn1 0.000 0.000 0.000
Ga1 0.500 0.500 0.500
Os1 0.000 0.500 0.000
Br1 0.000 0.000 0.500
```


Record 5
VASP calculation (PBE) on a relaxed structure of RbAg2HCl6.

Computed properties:
E in eV per atom: -2.799

The structure in CIF format:
```
data_RbAg2HCl6
_symmetry_space_group_name_H-M 'C 1 2/c 1'
_symmetry_Int_Tables_number 15
_cell_length_a 14.546
_cell_length_b 12.275
_cell_length_c 8.723
_cell_angle_alpha 90.00
_cell_angle_beta 126.76
_cell_angle_gamma 90.00
loop_
_symmetry_equiv_pos_as_xyz
'x,y,z'
'-x,-y,-z'
'-x,y,-z+1/2'
'x,-y,z+1/2'
'x+1/2,y+1/2,z'
'-x+1/2,-y+1/2,-z'
'-x+1/2,y+1/2,-z+1/2'
'x+1/2,-y+1/2,z+1/2'
loop_
_atom_site_label
_atom_site_fract_x
_atom_site_fract_y
_atom_site_fract_z
Rb1 0.000 0.189 0.250
Ag1 0.182 0.493 0.177
H1 0.000 0.353 0.750
Cl1 0.002 0.355 0.930
Cl2 0.103 0.002 0.101
Cl3 0.193 0.403 0.442
```


Record 6
VASP calculation (PBE) on a relaxed structure of LiHoNbRu.

Computed properties:
E_form in meV per atom: -54

The structure in CIF format:
```
data_LiHoNbRu
_symmetry_space_group_name_H-M 'F -4 3 m'
_symmetry_Int_Tables_number 216
_symmetry_space_group_name_Hall 'F -4 2 3'
_cell_length_a 6.596
_cell_length_b 6.596
_cell_length_c 6.596
_cell_angle_alpha 90.00
_cell_angle_beta 90.00
_cell_angle_gamma 90.00
loop_
_atom_site_label
_atom_site_fract_x
_atom_site_fract_y
_atom_site_fract_z
Li1 0.000 0.000 0.000
Ho1 0.250 0.250 0.250
Nb1 0.250 0.250 0.750
Ru1 0.000 0.000 0.500
```